First-principles (PBE-GGA) data for an optimized crystal structure of Au2Cl, as listed in Alexandria.

Unit cell a=9.950 b=9.950 c=4.207 alpha=90.00 beta=90.00 gamma=161.24
Sites, in units of the cell vectors:
Au 0.135 0.865 0.750
Au 0.232 0.768 0.250
Au 0.768 0.232 0.750
Au 0.865 0.135 0.250
Cl 0.418 0.582 0.750
Cl 0.582 0.418 0.250

crystal system = orthorhombic
density = 10.6 g/cm³
Fermi-level density of states = 2.47 states/eV/cell
E_tot = -15.8 eV for the cell shown
ΔE to the lowest computed polymorph = 17.0 kJ per mole of atoms
energy relative to the elements, uncorrected = 0.162 eV per atom